Material: ZrReOs2
Method: DFT, GGA-PBEsol
State: relaxed Values from VASP.

N(E_F)	4.91	states/eV per cell
mass density	17564	kg/m3
E_form	0.053	eV per atom
energy relative to the lowest polymorph listed for this composition	0.000	eV per atom

```
&SYSTEM
  ibrav = 0, nat = 4, ntyp = 3
/
ATOMIC_SPECIES
Zr 91.22 Zr.upf
Re 186.21 Re.upf
Os 190.23 Os.upf
CELL_PARAMETERS angstrom
4.0033 0.0000 0.0000
0.0000 4.0033 0.0000
0.0000 0.0000 3.8809
ATOMIC_POSITIONS crystal
Zr 0.0000 0.0000 0.0000
Re 0.5000 0.5000 0.0000
Os 0.0000 0.5000 0.5000
Os 0.5000 0.0000 0.5000
```